# 1
Material: SmGa3NiRh
Method: DFT, PBE
State: relaxed

a b c (Å): 6.749 6.749 5.777
angles (deg): 90.00 90.00 122.94
Element x y z (fractional)
1 Sm 0.230 0.770 0.750
2 Sm 0.770 0.230 0.250
3 Ga 0.193 0.193 0.000
4 Ga 0.193 0.193 0.500
5 Ga 0.335 0.665 0.250
6 Ga 0.665 0.335 0.750
7 Ga 0.807 0.807 0.000
8 Ga 0.807 0.807 0.500
9 Ni 0.138 0.862 0.250
10 Ni 0.862 0.138 0.750
11 Rh 0.456 0.544 0.750
12 Rh 0.544 0.456 0.250

ΔE_f in eV per formula unit: -2.65
Magnetization in μB per cell: 0.000

***

# 2
Material: Sm9Er4Al11
Method: DFT, PBE
State: relaxed

a b c (Å): 13.593 13.593 3.443
angles (deg): 90.00 90.00 109.13
Element x y z (fractional)
1 Sm 0.000 0.000 0.000
2 Sm 0.117 0.656 0.000
3 Sm 0.295 0.479 0.000
4 Sm 0.344 0.883 0.000
5 Sm 0.479 0.295 0.000
6 Sm 0.521 0.705 0.000
7 Sm 0.656 0.117 0.000
8 Sm 0.705 0.521 0.000
9 Sm 0.883 0.344 0.000
10 Er 0.085 0.255 0.000
11 Er 0.255 0.085 0.000
12 Er 0.745 0.915 0.000
13 Er 0.915 0.745 0.000
14 Al 0.084 0.451 0.500
15 Al 0.123 0.877 0.500
16 Al 0.281 0.281 0.500
17 Al 0.318 0.682 0.500
18 Al 0.451 0.084 0.500
19 Al 0.500 0.500 0.500
20 Al 0.549 0.916 0.500
21 Al 0.682 0.318 0.500
22 Al 0.719 0.719 0.500
23 Al 0.877 0.123 0.500
24 Al 0.916 0.549 0.500

ΔE_f in eV per formula unit: -7.29
Magnetization in μB per cell: 0.001

***

# 3
Material: Dy5Y2Ho4
Method: DFT, PBE
State: relaxed

a b c (Å): 6.599 6.599 9.139
angles (deg): 103.61 103.61 67.43
Element x y z (fractional)
1 Dy 0.000 0.000 0.000
2 Dy 0.209 0.649 0.723
3 Dy 0.351 0.791 0.277
4 Dy 0.649 0.209 0.723
5 Dy 0.791 0.351 0.277
6 Y 0.144 0.144 0.624
7 Y 0.856 0.856 0.376
8 Ho 0.319 0.319 0.004
9 Ho 0.333 0.333 0.381
10 Ho 0.667 0.667 0.619
11 Ho 0.681 0.681 0.996

ΔE_f in eV per formula unit: 1.52
Magnetization in μB per cell: 0.000
ΔE to the lowest computed polymorph in eV per formula unit: 0.00

***

# 4
Material: Ac6Te3AsRh2
Method: DFT, PBE
State: relaxed

a b c (Å): 7.802 7.802 8.319
angles (deg): 99.14 99.14 119.96
Element x y z (fractional)
1 Ac 0.084 0.431 0.785
2 Ac 0.225 0.225 0.213
3 Ac 0.431 0.084 0.785
4 Ac 0.569 0.916 0.215
5 Ac 0.775 0.775 0.787
6 Ac 0.916 0.569 0.215
7 Te 0.000 0.000 0.500
8 Te 0.338 0.662 0.500
9 Te 0.662 0.338 0.500
10 As 0.500 0.500 0.000
11 Rh 0.168 0.832 0.000
12 Rh 0.832 0.168 0.000

E_form (uncorrected) in eV/atom: -1.22
Magnetization in μB per cell: 0.000

***

# 5
Material: NaPrSnPt
Method: DFT, PBE
State: relaxed

a b c (Å): 4.989 4.989 4.989
angles (deg): 60.00 60.00 60.00
Element x y z (fractional)
1 Na 0.000 0.000 0.000
2 Pr 0.750 0.750 0.750
3 Sn 0.250 0.250 0.250
4 Pt 0.500 0.500 0.500

ΔE_f in eV per formula unit: -2.67
Magnetization in μB per cell: 0.000

***

# 6
Material: NdDyLu2
Method: DFT, PBE
State: relaxed

a b c (Å): 11.618 11.618 11.618
angles (deg): 17.54 17.54 17.54
Element x y z (fractional)
1 Nd 0.000 0.000 0.000
2 Dy 0.500 0.500 0.500
3 Lu 0.249 0.249 0.249
4 Lu 0.751 0.751 0.751

ΔE_f in eV per formula unit: 0.12
Magnetization in μB per cell: 0.000
ΔE to the lowest computed polymorph in eV per formula unit: 0.00

***

# 7
Material: Sr2ScBe
Method: DFT, PBE
State: relaxed

a b c (Å): 5.525 5.522 5.500
angles (deg): 60.17 60.11 59.72
Element x y z (fractional)
1 Sr 0.000 0.000 0.000
2 Sr 0.250 0.250 0.250
3 Sc 0.750 0.750 0.750
4 Be 0.500 0.500 0.500

ΔE_f in eV per formula unit: 2.53
Magnetization in μB per cell: 0.000

***

# 8
Material: InFeSb2
Method: DFT, PBE
State: relaxed

a b c (Å): 5.207 5.207 6.284
angles (deg): 110.37 110.37 36.16
Element x y z (fractional)
1 In 0.000 0.000 0.000
2 Fe 0.272 0.272 0.008
3 Sb 0.660 0.660 0.663
4 Sb 0.840 0.840 0.354

E_form (uncorrected) in eV/atom: 0.13
Magnetization in μB per cell: 1.278

***

# 9
Material: Rb3TcW
Method: DFT, PBE
State: relaxed

a b c (Å): 6.947 6.947 6.947
angles (deg): 90.00 90.00 90.00
Element x y z (fractional)
1 Rb 0.000 0.000 0.500
2 Rb 0.000 0.500 0.000
3 Rb 0.500 0.000 0.000
4 Tc 0.500 0.500 0.500
5 W 0.000 0.000 0.000

ΔE_f in eV per formula unit: 12.08
Magnetization in μB per cell: 9.813
ΔE to the lowest computed polymorph in eV per formula unit: 0.00

***

# 10
Material: Co3H12Pd5
Method: DFT, PBE
State: relaxed

a b c (Å): 9.140 9.140 9.140
angles (deg): 109.47 109.47 109.47
Element x y z (fractional)
1 Co 0.125 0.250 0.375
2 Co 0.125 0.375 0.750
3 Co 0.250 0.375 0.125
4 Co 0.250 0.875 0.625
5 Co 0.375 0.125 0.250
6 Co 0.375 0.750 0.125
7 Co 0.625 0.250 0.875
8 Co 0.625 0.875 0.750
9 Co 0.750 0.125 0.375
10 Co 0.750 0.625 0.875
11 Co 0.875 0.625 0.250
12 Co 0.875 0.750 0.625
13 H 0.073 0.235 0.159
14 H 0.073 0.337 0.914
15 H 0.076 0.735 0.663
16 H 0.076 0.841 0.414
17 H 0.086 0.659 0.424
18 H 0.086 0.927 0.663
19 H 0.159 0.073 0.235
20 H 0.159 0.586 0.924
21 H 0.163 0.235 0.576
22 H 0.163 0.427 0.586
23 H 0.235 0.159 0.073
24 H 0.235 0.576 0.163
25 H 0.265 0.337 0.924
26 H 0.265 0.427 0.341
27 H 0.337 0.914 0.073
28 H 0.337 0.924 0.265
29 H 0.341 0.265 0.427
30 H 0.341 0.576 0.914
31 H 0.414 0.076 0.841
32 H 0.414 0.837 0.573
33 H 0.424 0.086 0.659
34 H 0.424 0.837 0.765
35 H 0.427 0.341 0.265
36 H 0.427 0.586 0.163
37 H 0.573 0.414 0.837
38 H 0.573 0.659 0.735
39 H 0.576 0.163 0.235
40 H 0.576 0.914 0.341
41 H 0.586 0.163 0.427
42 H 0.586 0.924 0.159
43 H 0.659 0.424 0.086
44 H 0.659 0.735 0.573
45 H 0.663 0.076 0.735
46 H 0.663 0.086 0.927
47 H 0.735 0.573 0.659
48 H 0.735 0.663 0.076
49 H 0.765 0.424 0.837
50 H 0.765 0.841 0.927
51 H 0.837 0.573 0.414
52 H 0.837 0.765 0.424
53 H 0.841 0.414 0.076
54 H 0.841 0.927 0.765
55 H 0.914 0.073 0.337
56 H 0.914 0.341 0.576
57 H 0.924 0.159 0.586
58 H 0.924 0.265 0.337
59 H 0.927 0.663 0.086
60 H 0.927 0.765 0.841
61 Pd 0.000 0.000 0.000
62 Pd 0.000 0.000 0.500
63 Pd 0.000 0.500 0.000
64 Pd 0.000 0.500 0.500
65 Pd 0.125 0.750 0.875
66 Pd 0.125 0.875 0.250
67 Pd 0.250 0.125 0.875
68 Pd 0.250 0.625 0.375
69 Pd 0.375 0.250 0.625
70 Pd 0.375 0.625 0.750
71 Pd 0.500 0.000 0.000
72 Pd 0.500 0.000 0.500
73 Pd 0.500 0.500 0.000
74 Pd 0.500 0.500 0.500
75 Pd 0.625 0.375 0.250
76 Pd 0.625 0.750 0.375
77 Pd 0.750 0.375 0.625
78 Pd 0.750 0.875 0.125
79 Pd 0.875 0.125 0.750
80 Pd 0.875 0.250 0.125

Magnetization in μB per cell: 5.568
E_tot in eV/atom: -4.269

***

# 11
Material: Sm12Tm6Th
Method: DFT, PBE
State: relaxed

a b c (Å): 8.716 8.716 8.716
angles (deg): 98.25 98.25 98.25
Element x y z (fractional)
1 Sm 0.000 0.263 0.737
2 Sm 0.000 0.737 0.263
3 Sm 0.169 0.587 0.587
4 Sm 0.263 0.000 0.737
5 Sm 0.263 0.737 0.000
6 Sm 0.413 0.413 0.831
7 Sm 0.413 0.831 0.413
8 Sm 0.587 0.169 0.587
9 Sm 0.587 0.587 0.169
10 Sm 0.737 0.000 0.263
11 Sm 0.737 0.263 0.000
12 Sm 0.831 0.413 0.413
13 Tm 0.140 0.140 0.404
14 Tm 0.140 0.404 0.140
15 Tm 0.404 0.140 0.140
16 Tm 0.596 0.860 0.860
17 Tm 0.860 0.596 0.860
18 Tm 0.860 0.860 0.596
19 Th 0.000 0.000 0.000

ΔE_f in eV per formula unit: 2.54
Magnetization in μB per cell: 0.000

***

# 12
Material: MgCu2Ir2
Method: DFT, PBE
State: relaxed

a b c (Å): 6.528 6.528 6.528
angles (deg): 147.51 147.51 46.61
Element x y z (fractional)
1 Mg 0.000 0.000 0.000
2 Cu 0.402 0.402 0.000
3 Cu 0.598 0.598 0.000
4 Ir 0.250 0.750 0.500
5 Ir 0.750 0.250 0.500

ΔE_f in eV per formula unit: 1.28
Magnetization in μB per cell: 0.000
ΔE to the lowest computed polymorph in eV per formula unit: 0.66

***

# 13
Material: Cs3DyY2Te6
Method: DFT, PBE
State: relaxed

a b c (Å): 7.891 7.891 9.296
angles (deg): 98.14 98.14 120.00
Element x y z (fractional)
1 Cs 0.000 0.000 0.000
2 Cs 0.333 0.667 0.000
3 Cs 0.667 0.333 0.000
4 Dy 0.500 0.500 0.500
5 Y 0.167 0.833 0.500
6 Y 0.833 0.167 0.500
7 Te 0.104 0.437 0.310
8 Te 0.230 0.230 0.690
9 Te 0.437 0.104 0.310
10 Te 0.563 0.896 0.690
11 Te 0.770 0.770 0.310
12 Te 0.896 0.563 0.690

E_form (uncorrected) in eV/atom: -1.40
Magnetization in μB per cell: 0.000

***

# 14
Material: Tb2CeSe5
Method: DFT, PBE
State: relaxed

a b c (Å): 8.505 8.505 8.505
angles (deg): 126.52 126.52 79.04
Element x y z (fractional)
1 Tb 0.156 0.656 0.811
2 Tb 0.344 0.156 0.500
3 Tb 0.656 0.844 0.500
4 Tb 0.844 0.344 0.189
5 Ce 0.250 0.250 0.000
6 Ce 0.750 0.750 0.000
7 Se 0.000 0.000 0.000
8 Se 0.008 0.194 0.500
9 Se 0.194 0.694 0.186
10 Se 0.306 0.492 0.500
11 Se 0.492 0.992 0.186
12 Se 0.500 0.500 0.000
13 Se 0.508 0.008 0.814
14 Se 0.694 0.508 0.500
15 Se 0.806 0.306 0.814
16 Se 0.992 0.806 0.500

E_form (uncorrected) in eV/atom: -1.68
Magnetization in μB per cell: 0.428

***

# 15
Material: Ce3SmPt8
Method: DFT, PBE
State: relaxed

a b c (Å): 5.481 5.481 9.049
angles (deg): 90.00 90.00 120.00
Element x y z (fractional)
1 Ce 0.000 0.000 0.000
2 Ce 0.000 0.000 0.378
3 Ce 0.333 0.667 0.881
4 Sm 0.333 0.667 0.507
5 Pt 0.002 0.501 0.192
6 Pt 0.332 0.166 0.692
7 Pt 0.499 0.501 0.192
8 Pt 0.499 0.998 0.192
9 Pt 0.667 0.333 0.442
10 Pt 0.667 0.333 0.943
11 Pt 0.834 0.166 0.692
12 Pt 0.834 0.668 0.692

ΔE_f in eV per formula unit: -11.77
Magnetization in μB per cell: 2.294
ΔE to the lowest computed polymorph in eV per formula unit: 0.67

***

# 16
Material: Ti3In4
Method: DFT, PBE
State: relaxed

a b c (Å): 7.260 7.260 7.260
angles (deg): 109.47 109.47 109.47
Element x y z (fractional)
1 Ti 0.125 0.750 0.875
2 Ti 0.250 0.625 0.375
3 Ti 0.375 0.250 0.625
4 Ti 0.625 0.375 0.250
5 Ti 0.750 0.875 0.125
6 Ti 0.875 0.125 0.750
7 In 0.000 0.341 0.500
8 In 0.000 0.841 0.500
9 In 0.159 0.159 0.159
10 In 0.341 0.500 0.000
11 In 0.500 0.000 0.341
12 In 0.500 0.000 0.841
13 In 0.659 0.659 0.659
14 In 0.841 0.500 0.000

ΔE_f in eV per formula unit: 1.01
Magnetization in μB per cell: 0.064
ΔE to the lowest computed polymorph in eV per formula unit: 1.27

***

# 17
Material: CoBr2Cl
Method: DFT, PBE
State: relaxed

a b c (Å): 9.208 9.208 9.208
angles (deg): 22.27 22.27 22.27
Element x y z (fractional)
1 Co 0.000 0.000 0.000
2 Br 0.384 0.384 0.384
3 Br 0.616 0.616 0.616
4 Cl 0.500 0.500 0.500

E_form (uncorrected) in eV/atom: 0.04
Magnetization in μB per cell: 0.000
ΔE to the lowest computed polymorph in eV per formula unit: 1.46